A relaxed structure of La2BO4, computed with PBE.

a = 3.9978 Å, b = 3.9978 Å, c = 14.7458 Å
α = 90.00°, β = 90.00°, γ = 90.00°
Space group I4/mmm (No. 139)
Symmetry-distinct sites (fractional):
La: 0.0000 0.0000 0.1648 x4
B: 0.0000 0.0000 0.5000 x2
O: 0.0000 0.0000 0.4126 x4
O: 0.0000 0.5000 0.2500 x4

Values from the calculation:
total DFT energy (no corrections): -8.040 eV/atom
magnetization: 0.02 μB/atom
crystal system: tetragonal
ΔE_f (raw): -2.85 eV per atom